(1)
The following is a PBE calculation of crystalline HoGaSn at its relaxed geometry, from Alexandria.

Calculated values
As for the total energy: -4.37 eV/atom.

Lattice parameters (Å, degrees): 4.3748 4.3748 4.3894 90.00 90.00 120.00
With the nearest neighbours (Å) after each atom.
Positions (direct):
Ho: 0.0000 0.0000 0.0000  3 Ga 2.92, 3 Sn 3.16
Ga: 0.3333 0.6667 0.3333  3 Sn 2.73, 3 Ho 2.92
Sn: 0.6667 0.3333 0.5664  3 Ga 2.73

(2)
The following is a PBE calculation of crystalline Ho2GaSn4 at its relaxed geometry, from Alexandria.

Calculated values
As for the total energy: -4.45 eV/atom.

Lattice parameters (Å, degrees): 6.4782 6.4589 6.2944 61.04 60.73 58.23
With the nearest neighbours (Å) after each atom.
Positions (direct):
Ho: 0.0000 0.0000 0.5000  2 Ga 3.15, 8 Sn 3.23-3.24
Ho: 0.5000 0.5000 0.0000  2 Ga 3.15, 8 Sn 3.23-3.24
Ga: 0.0000 0.0000 0.0000  4 Ho 3.15, 8 Sn 3.23-3.24
Sn: 0.0000 0.5000 0.0000  4 Sn 3.15, 2 Ga 3.23, 4 Ho 3.24
Sn: 0.0000 0.5000 0.5000  4 Sn 3.15, 4 Ho 3.23, 2 Ga 3.24
Sn: 0.5000 0.0000 0.0000  4 Sn 3.15, 4 Ho 3.23, 2 Ga 3.24
Sn: 0.5000 0.0000 0.5000  4 Sn 3.15, 2 Ga 3.23, 4 Ho 3.24

(3)
The following is a PBE calculation of crystalline Ho4GaSn2 at its relaxed geometry, from Alexandria.

Calculated values
As for the total energy: -4.78 eV/atom.

Lattice parameters (Å, degrees): 11.3367 4.6717 8.7844 90.00 124.52 90.00
With the nearest neighbours (Å) after each atom.
Positions (direct):
Ho: 0.0802 0.0000 0.3771  1 Ga 2.90, 3 Sn 3.20-3.23
Ho: 0.1716 0.5000 0.0558  2 Ga 2.90, 2 Sn 3.13
Ho: 0.3284 0.0000 0.9442  2 Ga 2.90, 2 Sn 3.13
Ho: 0.4198 0.5000 0.6229  1 Ga 2.90, 3 Sn 3.20-3.23
Ho: 0.5802 0.5000 0.3771  1 Ga 2.90, 3 Sn 3.20-3.23
Ho: 0.6716 0.0000 0.0558  2 Ga 2.90, 2 Sn 3.13
Ho: 0.8284 0.5000 0.9442  2 Ga 2.90, 2 Sn 3.13
Ho: 0.9198 0.0000 0.6229  1 Ga 2.90, 3 Sn 3.20-3.23
Ga: 0.0000 0.0000 0.0000  6 Ho 2.90
Ga: 0.5000 0.5000 0.0000  6 Ho 2.90
Sn: 0.1558 0.5000 0.6679  1 Sn 3.06, 8 Ho 3.13-3.40, 1 Ga 3.29
Sn: 0.3442 0.0000 0.3321  1 Sn 3.06, 8 Ho 3.13-3.40, 1 Ga 3.29
Sn: 0.6558 0.0000 0.6679  1 Sn 3.06, 8 Ho 3.13-3.40, 1 Ga 3.29
Sn: 0.8442 0.5000 0.3321  1 Sn 3.06, 8 Ho 3.13-3.40, 1 Ga 3.29

(4)
The following is a PBE calculation of crystalline Ho4Ga3Sn at its relaxed geometry, from Alexandria.

Calculated values
As for the total energy: -4.58 eV/atom.

Lattice parameters (Å, degrees): 4.0932 4.3950 10.9435 90.00 90.00 90.00
With the nearest neighbours (Å) after each atom.
Positions (direct):
Ho: 0.0000 0.0000 0.0000  5 Ga 3.04-3.06, 2 Sn 3.29
Ho: 0.0000 0.5000 0.4865  6 Ga 3.06-3.17, 1 Sn 3.17
Ho: 0.5000 0.0000 0.7102  3 Ga 3.04-3.38, 4 Sn 3.09
Ho: 0.5000 0.5000 0.2188  7 Ga 2.99-3.21
Ga: 0.0000 0.0000 0.2780  2 Ga 2.65
Ga: 0.5000 0.0000 0.4321  2 Ga 2.65
Ga: 0.5000 0.5000 0.9454  2 Sn 2.76, 5 Ho 2.99-3.06
Sn: 0.0000 0.5000 0.7759  2 Ga 2.76, 4 Ho 3.09

(5)
The following is a PBE calculation of crystalline HoGaSn2 at its relaxed geometry, from Alexandria.

Calculated values
As for the total energy: -4.08 eV/atom.

Lattice parameters (Å, degrees): 4.4657 4.4657 19.0906 90.00 90.00 120.00
With the nearest neighbours (Å) after each atom.
Positions (direct):
Ho: 0.0000 0.0000 0.0000  6 Sn 3.09-3.10, 1 Ga 3.24
Ho: 0.3333 0.6667 0.6667  6 Sn 3.09-3.10, 1 Ga 3.24
Ho: 0.6667 0.3333 0.3333  6 Sn 3.09-3.10, 1 Ga 3.24
Ga: 0.0000 0.0000 0.8301  6 Sn 2.94-3.00, 1 Ho 3.24
Ga: 0.3333 0.6667 0.4968  6 Sn 2.94-3.00, 1 Ho 3.24
Ga: 0.6667 0.3333 0.1634  6 Sn 2.94-3.00, 1 Ho 3.24
Sn: 0.0000 0.0000 0.4231  3 Ga 2.94, 1 Sn 2.94, 3 Ho 3.10
Sn: 0.0000 0.0000 0.5772  1 Sn 2.94, 3 Ga 3.00, 3 Ho 3.09
Sn: 0.3333 0.6667 0.0897  3 Ga 2.94, 1 Sn 2.94, 3 Ho 3.10
Sn: 0.3333 0.6667 0.2439  1 Sn 2.94, 3 Ga 3.00, 3 Ho 3.09
Sn: 0.6667 0.3333 0.7564  3 Ga 2.94, 1 Sn 2.94, 3 Ho 3.10
Sn: 0.6667 0.3333 0.9105  1 Sn 2.94, 3 Ga 3.00, 3 Ho 3.09

(6)
The following is a PBE calculation of crystalline HoGa2Sn2 at its relaxed geometry, from Alexandria.

Calculated values
As for the total energy: -4.03 eV/atom.

Lattice parameters (Å, degrees): 10.5138 4.3848 6.8635 90.00 129.62 90.00
With the nearest neighbours (Å) after each atom.
Positions (direct):
Ho: 0.0000 0.0000 0.0000  6 Ga 3.01-3.24, 6 Sn 3.27-3.28
Ho: 0.5000 0.5000 0.0000  6 Ga 3.01-3.24, 6 Sn 3.27-3.28
Ga: 0.2170 0.5000 0.0566  2 Ga 2.57
Ga: 0.2830 0.0000 0.9434  2 Ga 2.57
Ga: 0.7170 0.0000 0.0566  2 Ga 2.57
Ga: 0.7830 0.5000 0.9434  2 Ga 2.57
Sn: 0.1313 0.5000 0.4471  2 Ga 3.04-3.33, 3 Sn 3.04-3.27, 3 Ho 3.27-3.28
Sn: 0.3687 0.0000 0.5529  2 Ga 3.04-3.33, 3 Sn 3.04-3.27, 3 Ho 3.27-3.28
Sn: 0.6313 0.0000 0.4471  2 Ga 3.04-3.33, 3 Sn 3.04-3.27, 3 Ho 3.27-3.28
Sn: 0.8687 0.5000 0.5529  2 Ga 3.04-3.33, 3 Sn 3.04-3.27, 3 Ho 3.27-3.28

(7)
The following is a PBE calculation of crystalline HoGaSn2 at its relaxed geometry, from Alexandria.

Calculated values
As for the total energy: -4.35 eV/atom.

Lattice parameters (Å, degrees): 4.5082 4.5082 4.7130 90.00 90.00 90.00
With the nearest neighbours (Å) after each atom.
Positions (direct):
Ho: 0.0000 0.0000 0.0000  4 Ga 3.19, 8 Sn 3.26
Ga: 0.5000 0.5000 0.0000  4 Ho 3.19, 8 Sn 3.26
Sn: 0.0000 0.5000 0.5000  4 Sn 3.19, 4 Ga 3.26, 4 Ho 3.26
Sn: 0.5000 0.0000 0.5000  4 Sn 3.19, 4 Ga 3.26, 4 Ho 3.26

(8)
The following is a PBE calculation of crystalline HoGaSn2 at its relaxed geometry, from Alexandria.

Calculated values
As for the total energy: -3.62 eV/atom.

Lattice parameters (Å, degrees): 4.9556 4.9556 22.8625 90.00 90.00 120.00
With the nearest neighbours (Å) after each atom.
Positions (direct):
Ho: 0.0000 0.0000 0.0000  6 Sn 3.09
Ho: 0.3333 0.6667 0.6667  6 Sn 3.09
Ho: 0.6667 0.3333 0.3333  6 Sn 3.09
Ga: 0.0000 0.0000 0.5000  2 Sn 2.64
Ga: 0.3333 0.6667 0.1667  2 Sn 2.64
Ga: 0.6667 0.3333 0.8333  2 Sn 2.64
Sn: 0.0000 0.0000 0.3844  1 Ga 2.64
Sn: 0.0000 0.0000 0.6156  1 Ga 2.64
Sn: 0.3333 0.6667 0.0511  1 Ga 2.64
Sn: 0.3333 0.6667 0.2823  1 Ga 2.64
Sn: 0.6667 0.3333 0.7177  1 Ga 2.64
Sn: 0.6667 0.3333 0.9489  1 Ga 2.64